Record 1
! NbBS2N | Alexandria | SCAN | PBEsol geometry; values from VASP
! Symmetry: P4/mmm
! Crystal system: tetragonal
! Total energy: -13.6118 eV per atom
&SYSTEM
  ibrav = 0, nat = 5, ntyp = 4
/
ATOMIC_SPECIES
B 10.81 B.upf
S 32.06 S.upf
N 14.01 N.upf
Nb 92.91 Nb.upf
ATOMIC_POSITIONS crystal
B 0.000 0.000 0.000
S 0.000 0.500 0.000
S 0.000 0.000 0.500
N 0.500 0.000 0.000
Nb 0.500 0.500 0.500
CELL_PARAMETERS angstrom
-1.435 1.965 -1.100
-3.981 -2.941 -0.062
-1.257 1.606 4.510

Record 2
! NdBN2 | Alexandria | SCAN | PBEsol geometry; values from VASP
! Symmetry: R-3c
! Crystal system: trigonal
! Total energy: -19.0014 eV per atom
&SYSTEM
  ibrav = 0, nat = 24, ntyp = 3
/
ATOMIC_SPECIES
N 14.01 N.upf
B 10.81 B.upf
Nd 144.24 Nd.upf
ATOMIC_POSITIONS crystal
N 0.373 0.246 0.877
N 0.250 0.242 0.242
B 0.750 0.880 0.880
N 0.750 0.123 0.123
B 0.370 0.120 0.760
N 0.627 0.754 0.123
B 0.130 0.760 0.120
N 0.250 0.877 0.877
B 0.870 0.240 0.880
N 0.873 0.123 0.754
Nd 0.250 0.454 0.454
N 0.127 0.877 0.246
N 0.008 0.515 0.242
Nd 0.704 0.454 0.091
B 0.250 0.120 0.120
N 0.508 0.758 0.485
N 0.750 0.758 0.758
Nd 0.750 0.546 0.546
Nd 0.796 0.091 0.454
Nd 0.204 0.909 0.546
B 0.630 0.880 0.240
N 0.992 0.485 0.758
Nd 0.296 0.546 0.909
N 0.492 0.242 0.515
CELL_PARAMETERS angstrom
6.858 0.000 0.000
-2.286 6.973 0.000
2.286 3.486 6.039

Record 3
! Nd3B2N4 | Alexandria | SCAN | PBEsol geometry; values from VASP
! Symmetry: Immm
! Crystal system: orthorhombic
! Total energy: -21.8635 eV per atom
&SYSTEM
  ibrav = 0, nat = 9, ntyp = 3
/
ATOMIC_SPECIES
Nd 144.24 Nd.upf
N 14.01 N.upf
B 10.81 B.upf
ATOMIC_POSITIONS crystal
Nd 0.201 0.701 0.403
Nd 0.000 0.000 0.000
N 0.380 0.123 0.761
N 0.380 0.638 0.761
N 0.620 0.362 0.239
N 0.620 0.877 0.239
Nd 0.799 0.299 0.597
B 0.500 0.644 0.000
B 0.500 0.356 0.000
CELL_PARAMETERS angstrom
3.505 0.000 0.000
0.000 6.248 0.000
-1.752 -3.124 5.378

Record 4
! NiBN2 | Alexandria | SCAN | PBEsol geometry; values from VASP
! Symmetry: I-42d
! Crystal system: tetragonal
! Total energy: -10.8608 eV per atom
&SYSTEM
  ibrav = 0, nat = 8, ntyp = 3
/
ATOMIC_SPECIES
B 10.81 B.upf
N 14.01 N.upf
Ni 58.69 Ni.upf
ATOMIC_POSITIONS crystal
B 0.500 0.000 0.500
N 0.625 0.750 0.192
B 0.750 0.500 0.250
N 0.442 0.250 0.375
Ni 0.250 0.500 0.750
N 0.125 0.750 0.558
N 0.808 0.250 0.875
Ni 0.000 0.000 0.000
CELL_PARAMETERS angstrom
-0.703 -2.986 2.718
-0.270 -1.180 -4.457
3.772 0.499 1.524

Record 5
! NiBSN2 | Alexandria | SCAN | PBEsol geometry; values from VASP
! Symmetry: P4/mmm
! E above lowest polymorph: 925 meV per atom
! Crystal system: tetragonal
&SYSTEM
  ibrav = 0, nat = 5, ntyp = 4
/
ATOMIC_SPECIES
N 14.01 N.upf
S 32.06 S.upf
B 10.81 B.upf
Ni 58.69 Ni.upf
ATOMIC_POSITIONS crystal
N 0.000 0.500 0.000
S 0.000 0.000 0.500
N 0.500 0.000 0.000
B 0.500 0.500 0.500
Ni 0.000 0.000 0.000
CELL_PARAMETERS angstrom
3.340 0.000 0.000
0.000 3.340 0.000
0.000 0.000 7.169

Record 6
! NiBSN2 | Alexandria | SCAN | PBEsol geometry; values from VASP
! Symmetry: P4/mmm
! E above lowest polymorph: 0 meV per atom
! Crystal system: tetragonal
&SYSTEM
  ibrav = 0, nat = 5, ntyp = 4
/
ATOMIC_SPECIES
N 14.01 N.upf
Ni 58.69 Ni.upf
S 32.06 S.upf
B 10.81 B.upf
ATOMIC_POSITIONS crystal
N 0.000 0.500 0.000
Ni 0.500 0.500 0.500
N 0.500 0.000 0.000
S 0.000 0.000 0.500
B 0.000 0.000 0.000
CELL_PARAMETERS angstrom
3.047 0.000 0.000
0.000 3.047 0.000
0.000 0.000 6.725

Record 7
! NiBSe2N | Alexandria | SCAN | PBEsol geometry; values from VASP
! Symmetry: P4/mmm
! Crystal system: tetragonal
! Total energy: -13.3055 eV per atom
&SYSTEM
  ibrav = 0, nat = 5, ntyp = 4
/
ATOMIC_SPECIES
N 14.01 N.upf
B 10.81 B.upf
Se 78.96 Se.upf
Ni 58.69 Ni.upf
ATOMIC_POSITIONS crystal
N 0.500 0.000 0.000
B 0.500 0.500 0.500
Se 0.000 0.000 0.500
Se 0.000 0.500 0.000
Ni 0.000 0.000 0.000
CELL_PARAMETERS angstrom
3.317 0.000 0.000
0.000 4.812 0.000
0.000 0.000 4.812

Record 8
! BOsN2O | Alexandria | SCAN | PBEsol geometry; values from VASP
! Symmetry: P4/mmm
! Crystal system: tetragonal
! Total energy: -19.4975 eV per atom
&SYSTEM
  ibrav = 0, nat = 5, ntyp = 4
/
ATOMIC_SPECIES
B 10.81 B.upf
N 14.01 N.upf
O 16.00 O.upf
Os 190.23 Os.upf
ATOMIC_POSITIONS crystal
B 0.500 0.500 0.500
N 0.000 0.500 0.000
O 0.000 0.000 0.500
Os 0.000 0.000 0.000
N 0.500 0.000 0.000
CELL_PARAMETERS angstrom
-0.426 -2.764 2.579
3.317 -1.518 -1.079
1.827 2.145 2.600

Record 9
! BPbNO2 | Alexandria | SCAN | PBEsol geometry; values from VASP
! Symmetry: P4/mmm
! Crystal system: tetragonal
! Total energy: -21.0205 eV per atom
&SYSTEM
  ibrav = 0, nat = 5, ntyp = 4
/
ATOMIC_SPECIES
O 16.00 O.upf
Pb 207.20 Pb.upf
B 10.81 B.upf
N 14.01 N.upf
ATOMIC_POSITIONS crystal
O 0.500 0.000 0.000
Pb 0.500 0.500 0.500
O 0.000 0.500 0.000
B 0.000 0.000 0.000
N 0.000 0.000 0.500
CELL_PARAMETERS angstrom
3.230 0.000 0.000
0.000 3.230 0.000
0.000 0.000 4.476

Record 10
! BSbNO2 | Alexandria | SCAN | PBEsol geometry; values from VASP
! Symmetry: P4/mmm
! Crystal system: tetragonal
! Total energy: -13.4092 eV per atom
&SYSTEM
  ibrav = 0, nat = 5, ntyp = 4
/
ATOMIC_SPECIES
Sb 121.76 Sb.upf
O 16.00 O.upf
N 14.01 N.upf
B 10.81 B.upf
ATOMIC_POSITIONS crystal
Sb 0.500 0.500 0.500
O 0.500 0.000 0.000
N 0.000 0.000 0.500
O 0.000 0.500 0.000
B 0.000 0.000 0.000
CELL_PARAMETERS angstrom
3.298 0.000 0.000
0.000 3.298 0.000
0.000 0.000 3.848

Record 11
! SiBNO2 | Alexandria | SCAN | PBEsol geometry; values from VASP
! Symmetry: P4/mmm
! Crystal system: tetragonal
! Total energy: -8.0823 eV per atom
&SYSTEM
  ibrav = 0, nat = 5, ntyp = 4
/
ATOMIC_SPECIES
N 14.01 N.upf
O 16.00 O.upf
B 10.81 B.upf
Si 28.09 Si.upf
ATOMIC_POSITIONS crystal
N 0.000 0.000 0.500
O 0.000 0.500 0.000
B 0.000 0.000 0.000
O 0.500 0.000 0.000
Si 0.500 0.500 0.500
CELL_PARAMETERS angstrom
2.911 0.000 0.000
0.000 2.911 0.000
0.000 0.000 5.602

Record 12
! SrBNO | Alexandria | SCAN | PBEsol geometry; values from VASP
! Symmetry: P2_1/c
! Crystal system: monoclinic
! Total energy: -13.5283 eV per atom
&SYSTEM
  ibrav = 0, nat = 48, ntyp = 4
/
ATOMIC_SPECIES
O 16.00 O.upf
N 14.01 N.upf
B 10.81 B.upf
Sr 87.62 Sr.upf
ATOMIC_POSITIONS crystal
O 0.777 0.826 0.051
O 0.757 0.371 0.761
N 0.967 0.792 0.322
N 0.968 0.460 0.318
B 0.052 0.627 0.292
Sr 0.643 0.610 0.614
B 0.792 0.780 0.394
Sr 0.354 0.865 0.393
O 0.223 0.174 0.949
B 0.791 0.469 0.389
Sr 0.854 0.635 0.893
B 0.448 0.127 0.208
N 0.467 0.708 0.822
N 0.533 0.292 0.178
Sr 0.357 0.390 0.386
B 0.292 0.720 0.894
B 0.552 0.873 0.792
O 0.277 0.674 0.551
Sr 0.612 0.624 0.176
O 0.743 0.871 0.739
O 0.230 0.582 0.961
Sr 0.646 0.135 0.607
O 0.730 0.918 0.461
Sr 0.388 0.376 0.824
N 0.032 0.540 0.682
O 0.770 0.418 0.039
B 0.948 0.373 0.708
B 0.209 0.531 0.611
O 0.270 0.082 0.539
Sr 0.146 0.365 0.107
N 0.532 0.960 0.182
Sr 0.888 0.124 0.324
N 0.033 0.208 0.678
B 0.708 0.280 0.106
B 0.291 0.031 0.889
Sr 0.857 0.110 0.886
Sr 0.143 0.890 0.114
Sr 0.112 0.876 0.676
O 0.257 0.129 0.261
N 0.831 0.124 0.101
N 0.169 0.876 0.899
N 0.669 0.624 0.399
B 0.208 0.220 0.606
N 0.468 0.040 0.818
B 0.709 0.969 0.111
N 0.331 0.376 0.601
O 0.243 0.629 0.239
O 0.723 0.326 0.449
CELL_PARAMETERS angstrom
6.564 0.000 -0.039
0.000 7.837 0.000
-0.420 0.000 11.757